No. 1
Here is a geometry-optimized Tb6CdAg structure from Alexandria via LeMat-Bulk. Energies are from PBE.

Distance to the lowest polymorph of the same formula   0 meV/atom
M_tot   0.00 μB per formula unit

Unit cell a=5.0894 b=5.0894 c=17.8362 alpha=90.00 beta=90.00 gamma=90.00
Closest atoms and distances in Å follow each position.
Space group I4/mmm (No. 139)
Inequivalent atoms, fractional coordinates:
Tb  0.0000  0.0000  0.2490  12 Tb 3.54-3.60
Tb  0.0000  0.5000  0.1108  2 Ag 3.22, 2 Cd 3.22, 8 Tb 3.54-3.60
Cd  0.0000  0.0000  0.0000  8 Tb 3.22, 4 Ag 3.60
Ag  0.0000  0.0000  0.5000  8 Tb 3.22, 4 Cd 3.60

=====

No. 2
Here is a geometry-optimized Ce3Be6Pd20 structure from Alexandria via LeMat-Bulk. Energies are from PBE.

Uncorrected energy   -5.601 eV/atom
M_tot   0.90 μB per formula unit

Unit cell a=12.0223 b=12.0223 c=12.0223 alpha=90.00 beta=90.00 gamma=90.00
Closest atoms and distances in Å follow each position.
Space group Fm-3m (No. 225)
Inequivalent atoms, fractional coordinates:
Ce  0.0000  0.0000  0.0000  12 Pd 2.89
Ce  0.2500  0.2500  0.2500  4 Pd 2.77
Be  0.0000  0.0000  0.2741  8 Pd 2.38-2.40
Pd  0.0000  0.1699  0.1699  2 Be 2.40
Pd  0.1168  0.1168  0.3832  3 Be 2.38

=====

No. 3
Here is a geometry-optimized Tl2SiAu structure from Alexandria via LeMat-Bulk. Energies are from PBE.

Formation energy from raw total energies   417 meV per atom
Distance to the lowest polymorph of the same formula   389 meV/atom
M_tot   0.00 μB per formula unit

Unit cell a=4.3293 b=4.3293 c=20.8369 alpha=90.00 beta=90.00 gamma=90.00
Closest atoms and distances in Å follow each position.
Space group I-42d (No. 122)
Inequivalent atoms, fractional coordinates:
Tl  0.2483  0.2500  0.1250  2 Si 3.02, 2 Au 3.02, 4 Tl 3.05-3.07
Si  0.0000  0.0000  0.0000  4 Tl 3.02, 4 Au 3.06
Au  0.0000  0.0000  0.5000  4 Tl 3.02, 4 Si 3.06

=====

No. 4
Here is a geometry-optimized Ti4Zn structure from Alexandria via LeMat-Bulk. Energies are from PBE.

Distance to the lowest polymorph of the same formula   890 meV/atom
M_tot   3.94 μB per formula unit

Unit cell a=4.6792 b=4.6792 c=4.6792 alpha=90.00 beta=90.00 gamma=90.00
Closest atoms and distances in Å follow each position.
Space group Pm-3m (No. 221)
Inequivalent atoms, fractional coordinates:
Ti  0.0000  0.0000  0.0000  12 Ti 3.31
Ti  0.0000  0.5000  0.5000  2 Zn 2.34
Zn  0.5000  0.5000  0.5000  6 Ti 2.34